Record 1
Entry from Alexandria: Na2Zn3Sn4 after structural relaxation (GGA-PBE).

Calculated values
SG: Cmce
energy of formation from the pure elements: -4.1 kJ/mol of atoms

The structure in POSCAR format:
```
Na2Zn3Sn4
1.0
3.275 -8.017 0.000
3.275 8.017 0.000
0.000 0.000 8.341
Na Zn Sn
4 6 8
Cartesian
3.275 6.314 7.521 Na
3.275 1.703 3.351 Na
3.275 -1.703 4.990 Na
3.275 -6.314 0.820 Na
0.000 0.000 4.171 Zn
1.638 3.818 6.256 Zn
1.638 -3.818 2.085 Zn
3.275 0.000 0.000 Zn
4.913 3.818 6.256 Zn
4.913 -3.818 2.085 Zn
3.275 5.155 4.302 Sn
1.638 1.020 6.256 Sn
1.638 -1.020 2.085 Sn
3.275 2.862 0.131 Sn
3.275 -2.862 8.210 Sn
4.913 1.020 6.256 Sn
4.913 -1.020 2.085 Sn
3.275 -5.155 4.039 Sn
```


Record 2
Entry from Alexandria: ZnGaMoIr after structural relaxation (GGA-PBE).

Calculated values
SG: Cm
energy of formation from the pure elements: -5.1 kJ/mol of atoms

The structure in POSCAR format:
```
ZnGaMoIr
1.0
4.702 -1.436 0.000
4.702 1.436 0.000
-1.353 0.000 4.390
Zn Ga Mo Ir
1 1 1 1
Cartesian
0.000 0.000 0.000 Zn
1.390 0.000 3.025 Ga
3.962 0.000 2.182 Mo
6.822 0.000 0.799 Ir
```


Record 3
Entry from Alexandria: Cs2ZrNi2Se4 after structural relaxation (GGA-PBE).

Calculated values
SG: C2/m
raw formation energy: -912 meV per atom

The structure in POSCAR format:
```
Cs2ZrNi2Se4
1.0
7.221 -1.962 0.000
7.221 1.962 0.000
-2.399 0.000 8.170
Cs Zr Ni Se
2 1 2 4
Cartesian
1.848 0.000 0.493 Cs
10.195 0.000 7.677 Cs
-1.200 0.000 4.085 Zr
3.400 0.000 4.176 Ni
8.644 0.000 3.994 Ni
1.254 0.000 5.340 Se
5.206 0.000 5.826 Se
6.838 0.000 2.344 Se
10.789 0.000 2.829 Se
```


Record 4
Entry from Alexandria: ZrBe2CoPd after structural relaxation (GGA-PBE).

Calculated values
SG: P4/mmm
energy of formation from the pure elements: 153.0 kJ/mol of atoms

The structure in POSCAR format:
```
ZrBe2CoPd
1.0
4.553 0.000 0.000
0.000 4.553 0.000
0.000 0.000 4.377
Zr Be Co Pd
1 2 1 1
Cartesian
0.000 0.000 0.000 Zr
0.000 2.276 0.000 Be
2.276 0.000 0.000 Be
0.000 0.000 2.188 Co
2.276 2.276 2.188 Pd
```


Record 5
Entry from Alexandria: Be2SiRu2 after structural relaxation (GGA-PBE).

Calculated values
SG: I4/mmm
raw formation energy: -228 meV per atom

The structure in POSCAR format:
```
Be2SiRu2
1.0
-1.476 1.476 6.603
1.476 -1.476 6.603
1.476 1.476 -6.603
Be Si Ru
2 1 2
Cartesian
1.476 0.000 3.301 Be
0.000 1.476 3.301 Be
0.000 0.000 0.000 Si
0.000 0.000 5.176 Ru
0.000 0.000 8.029 Ru
```


Record 6
Entry from Alexandria: TbNdDySn after structural relaxation (GGA-PBE).

Calculated values
SG: F-43m
energy of formation from the pure elements: -23.6 kJ/mol of atoms

The structure in POSCAR format:
```
TbNdDySn
1.0
0.000 3.870 3.870
3.870 0.000 3.870
3.870 3.870 0.000
Tb Nd Dy Sn
1 1 1 1
Cartesian
0.000 0.000 0.000 Tb
5.805 5.805 5.805 Nd
1.935 1.935 1.935 Dy
3.870 3.870 3.870 Sn
```


Record 7
Entry from Alexandria: CsNaMgHg2 after structural relaxation (GGA-PBE).

Calculated values
SG: P4/mmm
energy of formation from the pure elements: -5.7 kJ/mol of atoms

The structure in POSCAR format:
```
CsNaMgHg2
1.0
5.744 0.000 0.000
0.000 5.744 0.000
0.000 0.000 5.981
Cs Na Mg Hg
1 1 1 2
Cartesian
0.000 0.000 0.000 Cs
2.872 2.872 0.000 Na
2.872 2.872 2.990 Mg
0.000 2.872 2.990 Hg
2.872 0.000 2.990 Hg
```


Record 8
Entry from Alexandria: YTiPdN2 after structural relaxation (GGA-PBE).

Calculated values
SG: P4/mmm
raw formation energy: 1497 meV per atom

The structure in POSCAR format:
```
YTiPdN2
1.0
4.157 0.000 0.000
0.000 4.157 0.000
0.000 0.000 6.045
Y Ti Pd N
1 1 1 2
Cartesian
0.000 0.000 0.000 Y
0.000 0.000 3.022 Ti
2.079 2.079 3.022 Pd
0.000 2.079 0.000 N
2.079 0.000 0.000 N
```


Record 9
Entry from Alexandria: TbThAgPt after structural relaxation (GGA-PBE).

Calculated values
SG: F-43m
energy of formation from the pure elements: -60.1 kJ/mol of atoms

The structure in POSCAR format:
```
TbThAgPt
1.0
0.000 3.630 3.630
3.630 0.000 3.630
3.630 3.630 0.000
Tb Th Ag Pt
1 1 1 1
Cartesian
0.000 0.000 0.000 Tb
3.630 3.630 3.630 Th
1.815 1.815 1.815 Ag
5.446 5.446 5.446 Pt
```


Record 10
Entry from Alexandria: ZrSc2In after structural relaxation (GGA-PBE).

Calculated values
SG: C2/m
energy of formation from the pure elements: -16.9 kJ/mol of atoms

The structure in POSCAR format:
```
ZrSc2In
1.0
5.391 -1.653 0.000
5.391 1.653 0.000
-1.465 0.000 5.194
Zr Sc In
1 2 1
Cartesian
0.000 0.000 0.000 Zr
1.523 0.000 3.902 Sc
7.794 0.000 1.292 Sc
4.658 0.000 2.597 In
```


Record 11
Entry from Alexandria: SrMgVRe2 after structural relaxation (GGA-PBE).

Calculated values
SG: P4/mmm
energy of formation from the pure elements: 233.0 kJ/mol of atoms

The structure in POSCAR format:
```
SrMgVRe2
1.0
4.723 0.000 0.000
0.000 4.723 0.000
0.000 0.000 5.052
Sr Mg V Re
1 1 1 2
Cartesian
0.000 0.000 0.000 Sr
0.000 0.000 2.526 Mg
2.362 2.362 0.000 V
0.000 2.362 2.526 Re
2.362 0.000 2.526 Re
```


Record 12
Entry from Alexandria: Li3ZnCu after structural relaxation (GGA-PBE).

Calculated values
SG: C2/c
energy of formation from the pure elements: -9.1 kJ/mol of atoms

The structure in POSCAR format:
```
Li3ZnCu
1.0
5.396 -4.204 0.000
5.396 4.204 0.000
-4.244 0.000 6.436
Li Zn Cu
12 4 4
Cartesian
0.837 3.129 5.479 Li
-0.136 1.013 3.602 Li
-0.807 1.085 6.169 Li
3.589 3.129 4.176 Li
1.986 -1.013 0.384 Li
1.315 -1.085 2.951 Li
5.232 1.085 3.486 Li
4.562 1.013 6.053 Li
2.959 -3.129 2.261 Li
7.354 -1.085 0.267 Li
6.684 -1.013 2.835 Li
5.711 -3.129 0.957 Li
2.803 1.057 2.353 Zn
5.866 1.057 0.865 Zn
0.681 -1.057 5.571 Zn
3.744 -1.057 4.083 Zn
4.335 2.993 1.609 Cu
2.213 0.892 4.827 Cu
4.335 -0.892 1.609 Cu
2.213 -2.993 4.827 Cu
```


What did the twelfth record say?
Entry from Alexandria: Li3ZnCu after structural relaxation (GGA-PBE).

Calculated values
SG: C2/c
energy of formation from the pure elements: -9.1 kJ/mol of atoms

The structure in POSCAR format:
```
Li3ZnCu
1.0
5.396 -4.204 0.000
5.396 4.204 0.000
-4.244 0.000 6.436
Li Zn Cu
12 4 4
Cartesian
0.837 3.129 5.479 Li
-0.136 1.013 3.602 Li
-0.807 1.085 6.169 Li
3.589 3.129 4.176 Li
1.986 -1.013 0.384 Li
1.315 -1.085 2.951 Li
5.232 1.085 3.486 Li
4.562 1.013 6.053 Li
2.959 -3.129 2.261 Li
7.354 -1.085 0.267 Li
6.684 -1.013 2.835 Li
5.711 -3.129 0.957 Li
2.803 1.057 2.353 Zn
5.866 1.057 0.865 Zn
0.681 -1.057 5.571 Zn
3.744 -1.057 4.083 Zn
4.335 2.993 1.609 Cu
2.213 0.892 4.827 Cu
4.335 -0.892 1.609 Cu
2.213 -2.993 4.827 Cu
```